# 1
# LiPmZn2Ge2 PBE relaxed
# M_tot in μB per formula unit: 0.000
# Formation energy from the elements in eV/f.u.: -3.0
# V in Å³ per atom: 18.496
data_LiPmZn2Ge2
_cell_length_a 4.289
_cell_length_b 4.289
_cell_length_c 6.966
_cell_angle_alpha 90.00
_cell_angle_beta 90.00
_cell_angle_gamma 120.00
_space_group_name_H-M_alt 'P 1'
_space_group_IT_number 1
loop_
_space_group_symop_operation_xyz
'x,y,z'
loop_
_atom_site_label
_atom_site_fract_x
_atom_site_fract_y
_atom_site_fract_z
Li1 0.000 0.000 0.500
Ge1 0.667 0.333 0.740
Ge2 0.333 0.667 0.260
Pm1 0.000 0.000 0.000
Zn1 0.667 0.333 0.327
Zn2 0.333 0.667 0.673

=====

# 2
# LiPm2Zn4Ge3 PBE relaxed
# M_tot in μB per formula unit: 0.000
# Formation energy from the elements in eV/f.u.: -4.4
# V in Å³ per atom: 18.876
data_LiPm2Zn4Ge3
_cell_length_a 4.165
_cell_length_b 4.165
_cell_length_c 10.881
_cell_angle_alpha 90.00
_cell_angle_beta 90.00
_cell_angle_gamma 90.00
_space_group_name_H-M_alt 'P 1'
_space_group_IT_number 1
loop_
_space_group_symop_operation_xyz
'x,y,z'
loop_
_atom_site_label
_atom_site_fract_x
_atom_site_fract_y
_atom_site_fract_z
Ge1 0.000 0.500 0.144
Ge2 0.500 0.000 0.856
Ge3 0.000 0.000 0.500
Zn1 0.500 0.500 0.000
Zn2 0.500 0.000 0.630
Zn3 0.000 0.500 0.370
Zn4 0.000 0.000 0.000
Li1 0.500 0.500 0.500
Pm1 0.500 0.000 0.246
Pm2 0.000 0.500 0.754

=====

# 3
# Li2PmZn2Ge2 PBE relaxed
# M_tot in μB per formula unit: 0.000
# Formation energy from the elements in eV/f.u.: -3.6
# V in Å³ per atom: 17.773
data_Li2PmZn2Ge2
_cell_length_a 4.257
_cell_length_b 4.257
_cell_length_c 8.299
_cell_angle_alpha 75.14
_cell_angle_beta 75.14
_cell_angle_gamma 60.00
_space_group_name_H-M_alt 'P 1'
_space_group_IT_number 1
loop_
_space_group_symop_operation_xyz
'x,y,z'
loop_
_atom_site_label
_atom_site_fract_x
_atom_site_fract_y
_atom_site_fract_z
Ge1 0.744 0.744 0.769
Ge2 0.256 0.256 0.231
Li1 0.143 0.143 0.570
Li2 0.857 0.857 0.430
Pm1 0.000 0.000 0.000
Zn1 0.438 0.438 0.687
Zn2 0.562 0.562 0.313

=====

# 4
# LiPmZrGe PBE relaxed
# M_tot in μB per formula unit: 0.000
# Formation energy from the elements in eV/f.u.: -1.2
# V in Å³ per atom: 21.105
data_LiPmZrGe
_cell_length_a 4.924
_cell_length_b 4.924
_cell_length_c 4.924
_cell_angle_alpha 60.00
_cell_angle_beta 60.00
_cell_angle_gamma 60.00
_space_group_name_H-M_alt 'P 1'
_space_group_IT_number 1
loop_
_space_group_symop_operation_xyz
'x,y,z'
loop_
_atom_site_label
_atom_site_fract_x
_atom_site_fract_y
_atom_site_fract_z
Ge1 0.250 0.250 0.250
Zr1 0.500 0.500 0.500
Li1 0.750 0.750 0.750
Pm1 0.000 0.000 0.000

=====

formation energy from the elements of number 3 (Li2PmZn2Ge2)? -3.6 eV/f.u.

=====

Look up the formation energy from the elements of the second one. -4.4 eV/f.u.